1:
Density functional theory data (PBE) for crystalline RbVGe2 at its relaxed geometry.

Unit cell a=6.0167 b=6.0167 c=14.8781 alpha=90.00 beta=90.00 gamma=90.00
With the nearest neighbours (Å) after each atom.
Space group I4_1/amd (No. 141, origin choice 2)
Symmetry-distinct sites (fractional):
Rb (0.0000, 0.2500, 0.3750) x4  8 Ge 3.84, 4 V 4.25
V (0.0000, 0.2500, 0.8750) x4  4 Ge 2.39
Ge (0.0000, 0.0000, 0.0000) x8  2 V 2.39

density: 3.474 g/cm3
D(E_F): 0.758 states/eV per atom
total moment: 1.91 Bohr magnetons per cell

=====

2:
Density functional theory data (PBE) for crystalline RbVGe2 at its relaxed geometry.

Unit cell a=4.3397 b=4.3397 c=24.1909 alpha=90.00 beta=90.00 gamma=120.00
With the nearest neighbours (Å) after each atom.
Space group R-3m (No. 166, hexagonal axes)
Symmetry-distinct sites (fractional):
Rb (0.0000, 0.0000, 0.0000) x3  2 Ge 3.34
V (0.0000, 0.0000, 0.5000) x3  6 Ge 2.60
Ge (0.0000, 0.0000, 0.1382) x6  3 V 2.60, 3 Ge 2.86

density: 3.557 g/cm3
D(E_F): 0.720 states/eV per atom
total moment: 8.62 Bohr magnetons per cell

=====

3:
Density functional theory data (PBE) for crystalline RbVGe2 at its relaxed geometry.

Unit cell a=7.1253 b=7.1253 c=7.1253 alpha=90.00 beta=90.00 gamma=90.00
With the nearest neighbours (Å) after each atom.
Space group Fm-3m (No. 225)
Symmetry-distinct sites (fractional):
Rb (0.0000, 0.0000, 0.0000) x4  8 Ge 3.09
V (0.0000, 0.0000, 0.5000) x4  8 Ge 3.09
Ge (0.2500, 0.2500, 0.2500) x8  4 Rb 3.09, 4 V 3.09

density: 5.172 g/cm3
D(E_F): 1.033 states/eV per atom
total moment: 12.98 Bohr magnetons per cell

=====

Which structure is the most stable? The one labeled 1.

=====

1:
Density functional theory data (PBE) for crystalline Rb2V2Ge at its relaxed geometry.

Unit cell a=4.2632 b=4.2632 c=15.2485 alpha=90.00 beta=90.00 gamma=90.00
With the nearest neighbours (Å) after each atom.
Space group I4/mmm (No. 139)
Symmetry-distinct sites (fractional):
Rb (0.0000, 0.5000, 0.2500) x4  4 Rb 3.01
V (0.0000, 0.0000, 0.0591) x4  1 V 1.80
Ge (0.0000, 0.0000, 0.5000) x2  8 V 3.15

density: 4.140 g/cm3
D(E_F): 0.798 states/eV per atom
total moment: 2.85 Bohr magnetons per cell

=====

2:
Density functional theory data (PBE) for crystalline Rb2V2Ge at its relaxed geometry.

Unit cell a=3.3382 b=3.3382 c=25.1295 alpha=90.00 beta=90.00 gamma=90.00
With the nearest neighbours (Å) after each atom.
Space group I4/mmm (No. 139)
Symmetry-distinct sites (fractional):
Rb (0.0000, 0.0000, 0.1094) x4  4 Rb 3.34, 4 Ge 3.62
V (0.0000, 0.5000, 0.2500) x4  4 V 2.36
Ge (0.0000, 0.0000, 0.5000) x2  4 Ge 3.34, 8 Rb 3.62

density: 4.097 g/cm3
D(E_F): 1.119 states/eV per atom
total moment: 1.00 Bohr magnetons per cell

=====

Which structure is the most stable? The one labeled 2.

=====

1:
Density functional theory data (PBE) for crystalline Rb2V2Ge at its relaxed geometry.

Unit cell a=6.5546 b=6.5546 c=6.1842 alpha=90.00 beta=90.00 gamma=90.00
With the nearest neighbours (Å) after each atom.
Space group P4/mbm (No. 127)
Symmetry-distinct sites (fractional):
Rb (0.2167, 0.2833, 0.0000) x4  4 Rb 3.31, 2 V 3.51
V (0.1051, 0.6051, 0.5000) x4  1 V 1.95
Ge (0.0000, 0.0000, 0.5000) x2  4 V 2.68

density: 4.318 g/cm3
D(E_F): 0.463 states/eV per atom
total moment: 3.33 Bohr magnetons per cell

=====

2:
Density functional theory data (PBE) for crystalline Rb2V2Ge at its relaxed geometry.

Unit cell a=10.7317 b=10.7317 c=3.0480 alpha=90.00 beta=90.00 gamma=90.00
With the nearest neighbours (Å) after each atom.
Space group P4/mbm (No. 127)
Symmetry-distinct sites (fractional):
Rb (0.2196, 0.2804, 0.0000) x4  2 Rb 3.05
V (0.0600, 0.5600, 0.5000) x4  1 V 1.82
Ge (0.0000, 0.0000, 0.0000) x2  2 Ge 3.05

density: 3.268 g/cm3
D(E_F): 0.957 states/eV per atom
total moment: 0.00 Bohr magnetons per cell

=====

Which structure is the most stable? The one labeled 1.